# PBE-GGA Sm4YHo3, optimized geometry
data_Sm4YHo3
_chemical_formula_sum 'Sm8 Y2 Ho6'
_cell_length_a 11.445
_cell_length_b 7.306
_cell_length_c 6.310
_cell_angle_alpha 90.00
_cell_angle_beta 90.00
_cell_angle_gamma 90.00
_space_group_name_H-M_alt 'P m n 21'
_space_group_IT_number 31
_space_group_name_Hall 'P 2ac -2'
loop_
_atom_site_label
_atom_site_type_symbol
_atom_site_fract_x
_atom_site_fract_y
_atom_site_fract_z
_atom_site_occupancy
Sm1 Sm 0.000 0.127 0.000 1
Sm2 Sm 0.000 0.873 0.497 1
Sm3 Sm 0.248 0.873 0.831 1
Y1 Y 0.000 0.377 0.500 1
Ho1 Ho 0.000 0.622 0.999 1
Ho2 Ho 0.250 0.377 0.833 1
# DFT formation energy, kJ/mol of atoms: 2
# DOS(E_F), states/eV/cell: 29.2
# Excess energy over the best structure of this formula in the dataset, meV/atom: 0
# ρ, kg/m³: 7459